(1)
# Ac2Sm2Ge2N | Alexandria | PBE | optimized geometry
# Total magnetization = 0.56 μB/f.u.
# DFT total energy = -5.956 eV/atom
# Symmetry = I4/mmm (139)
# Density = 7.83 g/cm³
data_Ac2Sm2Ge2N
_cell_length_a 4.814
_cell_length_b 4.814
_cell_length_c 16.720
_cell_angle_alpha 90.00
_cell_angle_beta 90.00
_cell_angle_gamma 90.00
_space_group_name_H-M_alt 'P 1'
_space_group_IT_number 1
loop_
_space_group_symop_operation_xyz
'x,y,z'
loop_
_atom_site_label
_atom_site_type_symbol
_atom_site_fract_x
_atom_site_fract_y
_atom_site_fract_z
Ac1 Ac 0.000 0.000 0.172
Ac2 Ac 0.000 0.000 0.828
Ac3 Ac 0.500 0.500 0.328
Ac4 Ac 0.500 0.500 0.672
Sm1 Sm 0.000 0.500 0.000
Sm2 Sm 0.000 0.500 0.500
Sm3 Sm 0.500 0.000 0.000
Sm4 Sm 0.500 0.000 0.500
Ge1 Ge 0.000 0.000 0.371
Ge2 Ge 0.000 0.000 0.629
Ge3 Ge 0.500 0.500 0.129
Ge4 Ge 0.500 0.500 0.871
N1 N 0.000 0.000 0.000
N2 N 0.500 0.500 0.500


(2)
# BaAsOs | Alexandria | PBE | optimized geometry
# ΔH_f (0 K) = 2.54 eV per formula unit
# Total magnetization = 1.30 μB/f.u.
# Symmetry = F-43m (216)
# Density = 8.26 g/cm³
data_BaAsOs
_cell_length_a 6.866
_cell_length_b 6.866
_cell_length_c 6.866
_cell_angle_alpha 90.00
_cell_angle_beta 90.00
_cell_angle_gamma 90.00
_space_group_name_H-M_alt 'P 1'
_space_group_IT_number 1
loop_
_space_group_symop_operation_xyz
'x,y,z'
loop_
_atom_site_label
_atom_site_type_symbol
_atom_site_fract_x
_atom_site_fract_y
_atom_site_fract_z
Ba1 Ba 0.000 0.000 0.000
Ba2 Ba 0.000 0.500 0.500
Ba3 Ba 0.500 0.000 0.500
Ba4 Ba 0.500 0.500 0.000
As1 As 0.250 0.250 0.250
As2 As 0.250 0.750 0.750
As3 As 0.750 0.250 0.750
As4 As 0.750 0.750 0.250
Os1 Os 0.000 0.000 0.500
Os2 Os 0.000 0.500 0.000
Os3 Os 0.500 0.000 0.000
Os4 Os 0.500 0.500 0.500


(3)
# Nd2SmDy3Tm6 | Alexandria | PBE | optimized geometry
# ΔH_f (0 K) = 0.26 eV per formula unit
# Total magnetization = 0.00 μB/f.u.
# Symmetry = C2/m (12)
# Density = 8.56 g/cm³
data_Nd2SmDy3Tm6
_cell_length_a 6.147
_cell_length_b 6.147
_cell_length_c 11.677
_cell_angle_alpha 95.02
_cell_angle_beta 95.02
_cell_angle_gamma 119.95
_space_group_name_H-M_alt 'P 1'
_space_group_IT_number 1
loop_
_space_group_symop_operation_xyz
'x,y,z'
loop_
_atom_site_label
_atom_site_type_symbol
_atom_site_fract_x
_atom_site_fract_y
_atom_site_fract_z
Nd1 Nd 0.167 0.833 0.000
Nd2 Nd 0.833 0.167 0.000
Sm1 Sm 0.500 0.500 0.000
Dy1 Dy 0.000 0.000 0.500
Dy2 Dy 0.333 0.667 0.500
Dy3 Dy 0.667 0.333 0.500
Tm1 Tm 0.082 0.415 0.747
Tm2 Tm 0.252 0.252 0.253
Tm3 Tm 0.415 0.082 0.747
Tm4 Tm 0.585 0.918 0.253
Tm5 Tm 0.748 0.748 0.747
Tm6 Tm 0.918 0.585 0.253